Compound: KSiBiO4
Source: the Alexandria database
Functional: PBE
Structure: relaxed

Results
- DOS(E_F): 0.00 states/eV/cell
- E_tot: -89.11 eV for the cell shown

a = 6.005 Å, b = 5.816 Å, c = 7.323 Å
α = 90.00°, β = 108.08°, γ = 90.00°
Atoms (fractional coordinates):
K: 0.691 0.750 0.944
K: 0.309 0.250 0.056
Si: 0.260 0.750 0.325
Si: 0.740 0.250 0.675
Bi: 0.775 0.750 0.477
Bi: 0.225 0.250 0.523
O: 0.915 0.477 0.702
O: 0.085 0.977 0.298
O: 0.085 0.523 0.298
O: 0.915 0.023 0.702
O: 0.428 0.750 0.188
O: 0.572 0.250 0.812
O: 0.443 0.750 0.551
O: 0.557 0.250 0.449

Compound: KSmBiO3
Source: the Alexandria database
Functional: PBE
Structure: relaxed

Results
- DOS(E_F): 4.41 states/eV/cell
- E_tot: -73.06 eV for the cell shown

a = 3.578 Å, b = 10.353 Å, c = 6.909 Å
α = 86.96°, β = 90.00°, γ = 90.00°
Atoms (fractional coordinates):
K: 0.750 0.697 0.619
K: 0.250 0.303 0.381
Sm: 0.250 0.625 0.104
Sm: 0.750 0.375 0.896
Bi: 0.250 0.085 0.810
Bi: 0.750 0.915 0.190
O: 0.250 0.788 0.334
O: 0.750 0.763 0.990
O: 0.750 0.487 0.184
O: 0.750 0.212 0.666
O: 0.250 0.513 0.816
O: 0.250 0.237 0.010

Compound: K2Sm2BiO6
Source: the Alexandria database
Functional: PBE
Structure: relaxed

Results
- DOS(E_F): 3.77 states/eV/cell
- E_tot: -69.51 eV for the cell shown

a = 6.146 Å, b = 6.146 Å, c = 6.705 Å
α = 98.25°, β = 98.25°, γ = 119.93°
Atoms (fractional coordinates):
K: 0.836 0.164 0.000
K: 0.164 0.836 0.000
Sm: 0.335 0.665 0.500
Sm: 0.665 0.335 0.500
Bi: 0.000 0.000 0.500
O: 0.740 0.740 0.682
O: 0.049 0.384 0.680
O: 0.260 0.260 0.318
O: 0.384 0.049 0.680
O: 0.951 0.616 0.320
O: 0.616 0.951 0.320

Compound: K3SmBi2O6
Source: the Alexandria database
Functional: PBE
Structure: relaxed

Results
- DOS(E_F): 0.00 states/eV/cell
- E_tot: -66.87 eV for the cell shown

a = 6.250 Å, b = 6.250 Å, c = 6.640 Å
α = 99.02°, β = 99.02°, γ = 120.00°
Atoms (fractional coordinates):
K: 0.169 0.831 0.500
K: 0.831 0.169 0.500
K: 0.500 0.500 0.500
Sm: 0.000 0.000 0.000
Bi: 0.334 0.666 0.000
Bi: 0.666 0.334 0.000
O: 0.934 0.608 0.802
O: 0.740 0.740 0.198
O: 0.066 0.392 0.198
O: 0.608 0.934 0.802
O: 0.260 0.260 0.802
O: 0.392 0.066 0.198

Compound: K4Sm3BiO8
Source: the Alexandria database
Functional: PBE
Structure: relaxed

Results
- DOS(E_F): 0.00 states/eV/cell
- E_tot: -99.53 eV for the cell shown

a = 7.186 Å, b = 7.544 Å, c = 7.186 Å
α = 118.44°, β = 120.00°, γ = 90.00°
Atoms (fractional coordinates):
K: 0.500 0.000 0.000
K: 0.500 0.000 0.500
K: 0.000 0.000 0.000
K: 0.000 0.000 0.500
Sm: 0.500 0.500 0.000
Sm: 0.500 0.500 0.500
Sm: 0.000 0.500 0.500
Bi: 0.000 0.500 0.000
O: 0.235 0.694 0.959
O: 0.235 0.694 0.469
O: 0.271 0.312 0.541
O: 0.725 0.694 0.959
O: 0.275 0.306 0.041
O: 0.729 0.688 0.459
O: 0.765 0.306 0.531
O: 0.765 0.306 0.041

Compound: KSnBi2O6
Source: the Alexandria database
Functional: PBE
Structure: relaxed

Results
- DOS(E_F): 4.89 states/eV/cell
- E_tot: -55.88 eV for the cell shown

a = 5.892 Å, b = 5.892 Å, c = 6.381 Å
α = 62.50°, β = 62.50°, γ = 59.98°
Atoms (fractional coordinates):
K: 0.790 0.790 0.630
Sn: 0.322 0.322 0.035
Bi: 0.525 0.525 0.426
Bi: 0.012 0.012 0.965
O: 0.581 0.251 0.219
O: 0.251 0.949 0.220
O: 0.949 0.581 0.219
O: 0.339 0.709 0.767
O: 0.709 0.184 0.767
O: 0.185 0.340 0.767

Compound: K2SnBiO4
Source: the Alexandria database
Functional: PBE
Structure: relaxed

Results
- DOS(E_F): 6.87 states/eV/cell
- E_tot: -81.33 eV for the cell shown

a = 5.845 Å, b = 6.599 Å, c = 8.654 Å
α = 90.00°, β = 90.00°, γ = 90.00°
Atoms (fractional coordinates):
K: 0.474 0.301 0.249
K: 0.474 0.301 0.751
K: 0.974 0.699 0.749
K: 0.974 0.699 0.251
Sn: 0.485 0.809 0.500
Sn: 0.985 0.191 0.000
Bi: 0.984 0.192 0.500
Bi: 0.484 0.808 0.000
O: 0.328 0.100 0.000
O: 0.828 0.900 0.500
O: 0.334 0.095 0.500
O: 0.834 0.905 0.000
O: 0.461 0.729 0.739
O: 0.961 0.271 0.239
O: 0.961 0.271 0.761
O: 0.461 0.729 0.261

Compound: KSrSnBiO6
Source: the Alexandria database
Functional: PBE
Structure: relaxed

Results
- DOS(E_F): 4.27 states/eV/cell
- E_tot: -56.37 eV for the cell shown

a = 5.932 Å, b = 5.932 Å, c = 5.932 Å
α = 60.00°, β = 60.00°, γ = 60.00°
Atoms (fractional coordinates):
K: 0.250 0.250 0.250
Sr: 0.750 0.750 0.750
Sn: 0.500 0.500 0.500
Bi: 0.000 0.000 0.000
O: 0.253 0.747 0.253
O: 0.747 0.253 0.747
O: 0.253 0.747 0.747
O: 0.747 0.253 0.253
O: 0.253 0.253 0.747
O: 0.747 0.747 0.253

Compound: KZrSnBiO6
Source: the Alexandria database
Functional: PBE
Structure: relaxed

Results
- E_tot: -66.19 eV for the cell shown

a = 5.851 Å, b = 5.851 Å, c = 5.851 Å
α = 60.00°, β = 60.00°, γ = 60.00°
Atoms (fractional coordinates):
K: 0.750 0.750 0.750
Zr: 0.500 0.500 0.500
Sn: 0.000 0.000 0.000
Bi: 0.250 0.250 0.250
O: 0.248 0.752 0.248
O: 0.752 0.248 0.752
O: 0.248 0.752 0.752
O: 0.752 0.248 0.248
O: 0.248 0.248 0.752
O: 0.752 0.752 0.248

Compound: KSrBiO3
Source: the Alexandria database
Functional: PBE
Structure: relaxed

Results
- DOS(E_F): 0.00 states/eV/cell
- E_tot: -64.81 eV for the cell shown

a = 4.978 Å, b = 5.572 Å, c = 8.453 Å
α = 107.53°, β = 90.00°, γ = 90.00°
Atoms (fractional coordinates):
K: 0.750 0.572 0.644
K: 0.250 0.428 0.356
Sr: 0.250 0.747 0.001
Sr: 0.750 0.253 0.999
Bi: 0.250 0.077 0.679
Bi: 0.750 0.923 0.321
O: 0.250 0.901 0.312
O: 0.750 0.286 0.300
O: 0.750 0.745 0.046
O: 0.750 0.099 0.688
O: 0.250 0.255 0.954
O: 0.250 0.714 0.700

Compound: K3SrBi2O6
Source: the Alexandria database
Functional: PBE
Structure: relaxed

Results
- DOS(E_F): 5.52 states/eV/cell
- E_tot: -61.25 eV for the cell shown

a = 6.295 Å, b = 6.295 Å, c = 6.625 Å
α = 99.15°, β = 99.15°, γ = 120.00°
Atoms (fractional coordinates):
K: 0.166 0.834 0.500
K: 0.834 0.166 0.500
K: 0.500 0.500 0.500
Sr: 0.000 0.000 0.000
Bi: 0.333 0.667 0.000
Bi: 0.667 0.333 0.000
O: 0.934 0.579 0.803
O: 0.711 0.711 0.198
O: 0.066 0.421 0.197
O: 0.579 0.934 0.803
O: 0.289 0.289 0.802
O: 0.421 0.066 0.197

Compound: KSr2BiO
Source: the Alexandria database
Functional: PBE
Structure: relaxed

Results
- Offset from the most stable computed form: 0.0 meV/atom
- DOS(E_F): 0.07 states/eV/cell
- E_tot: -20.48 eV for the cell shown

a = 5.207 Å, b = 5.207 Å, c = 5.240 Å
α = 90.00°, β = 90.00°, γ = 90.00°
Atoms (fractional coordinates):
Sr: 0.000 0.500 0.000
Sr: 0.500 0.000 0.000
K: 0.000 0.000 0.500
Bi: 0.500 0.500 0.500
O: 0.000 0.000 0.000

no.,E_form (uncorrected) (eV per atom)
1,-2.046
2,-1.993
3,-2.204
4,-1.779
5,-2.339
6,-1.327
7,-1.344
8,-1.596
9,-1.891
10,-1.812
11,-1.564
12,-1.435